A plane-wave DFT calculation with PBE was carried out for a relaxed POsC crystal.

Geometry as CIF:
```
data_POsC
_chemical_formula_sum 'P1 Os1 C1'
_symmetry_space_group_name_H-M 'P 1 m 1'
_symmetry_Int_Tables_number 6
_cell_length_a 3.737
_cell_length_b 2.818
_cell_length_c 4.067
_cell_angle_alpha 90.00
_cell_angle_beta 110.63
_cell_angle_gamma 90.00
loop_
_symmetry_equiv_pos_as_xyz
'x,y,z'
'x,-y,z'
loop_
_atom_site_label
_atom_site_type_symbol
_atom_site_fract_x
_atom_site_fract_y
_atom_site_fract_z
_atom_site_occupancy
P1 P 0.000 0.000 0.000 1
Os1 Os 0.429 0.500 0.808 1
C1 C 0.197 0.500 0.303 1
```

- energy of formation (eV/f.u.) = 1.986
- total magnetic moment (μB per cell) = 0.000
- V (Å³ per atom) = 13.362

A plane-wave DFT calculation with PBE was carried out for a relaxed Ca2PrUAs4 crystal.

Geometry as CIF:
```
data_Ca2PrUAs4
_chemical_formula_sum 'Ca2 Pr1 U1 As4'
_symmetry_space_group_name_H-M 'P 1 2/m 1'
_symmetry_Int_Tables_number 10
_cell_length_a 7.277
_cell_length_b 4.247
_cell_length_c 7.333
_cell_angle_alpha 90.00
_cell_angle_beta 109.47
_cell_angle_gamma 90.00
loop_
_symmetry_equiv_pos_as_xyz
'x,y,z'
'-x,-y,-z'
'-x,y,-z'
'x,-y,z'
loop_
_atom_site_label
_atom_site_type_symbol
_atom_site_fract_x
_atom_site_fract_y
_atom_site_fract_z
_atom_site_occupancy
Ca1 Ca 0.000 0.000 0.000 1
Ca2 Ca 0.000 0.500 0.500 1
Pr1 Pr 0.500 0.000 0.500 1
U1 U 0.500 0.500 0.000 1
As1 As 0.263 0.500 0.236 1
As2 As 0.269 0.000 0.770 1
```

- energy of formation (eV/f.u.) = -9.058
- total magnetic moment (μB per cell) = 0.999
- V (Å³ per atom) = 26.712

A plane-wave DFT calculation with PBE was carried out for a relaxed TlTc3B crystal.

Geometry as CIF:
```
data_TlTc3B
_chemical_formula_sum 'Tl1 Tc3 B1'
_symmetry_space_group_name_H-M 'P m -3 m'
_symmetry_Int_Tables_number 221
_symmetry_space_group_name_Hall '-P 4 2 3'
_cell_length_a 4.211
_cell_length_b 4.211
_cell_length_c 4.211
_cell_angle_alpha 90.00
_cell_angle_beta 90.00
_cell_angle_gamma 90.00
loop_
_atom_site_label
_atom_site_type_symbol
_atom_site_fract_x
_atom_site_fract_y
_atom_site_fract_z
_atom_site_occupancy
Tl1 Tl 0.000 0.000 0.000 1
Tc1 Tc 0.000 0.500 0.500 1
B1 B 0.500 0.500 0.500 1
```

- energy of formation (eV/f.u.) = 1.928
- total magnetic moment (μB per cell) = 1.014
- V (Å³ per atom) = 14.933

A plane-wave DFT calculation with PBE was carried out for a relaxed ScCl crystal.

Geometry as CIF:
```
data_ScCl
_chemical_formula_sum 'Sc2 Cl2'
_symmetry_space_group_name_H-M 'P 4/n m m'
_symmetry_Int_Tables_number 129
_cell_length_a 3.366
_cell_length_b 3.366
_cell_length_c 8.381
_cell_angle_alpha 90.00
_cell_angle_beta 90.00
_cell_angle_gamma 90.00
loop_
_symmetry_equiv_pos_as_xyz
'x,y,z'
'-x,-y,-z'
'-y+1/2,x,z'
'y+1/2,-x,-z'
'-x+1/2,-y+1/2,z'
'x+1/2,y+1/2,-z'
'y,-x+1/2,z'
'-y,x+1/2,-z'
'x+1/2,-y,-z'
'-x+1/2,y,z'
'-y,-x,-z'
'y,x,z'
'-x,y+1/2,-z'
'x,-y+1/2,z'
'y+1/2,x+1/2,-z'
'-y+1/2,-x+1/2,z'
loop_
_atom_site_label
_atom_site_type_symbol
_atom_site_fract_x
_atom_site_fract_y
_atom_site_fract_z
_atom_site_occupancy
Sc1 Sc 0.250 0.250 0.132 1
Cl1 Cl 0.250 0.250 0.707 1
```

- energy relative to the elements, uncorrected (eV/atom) = -1.34
- total magnetic moment (μB per cell) = 0.000
- V (Å³ per atom) = 23.733

A plane-wave DFT calculation with PBE was carried out for a relaxed PaSnMo2 crystal.

Geometry as CIF:
```
data_PaSnMo2
_chemical_formula_sum 'Pa1 Sn1 Mo2'
_symmetry_space_group_name_H-M 'P 4/m m m'
_symmetry_Int_Tables_number 123
_symmetry_space_group_name_Hall '-P 4 2'
_cell_length_a 4.662
_cell_length_b 4.662
_cell_length_c 3.563
_cell_angle_alpha 90.00
_cell_angle_beta 90.00
_cell_angle_gamma 90.00
loop_
_atom_site_label
_atom_site_type_symbol
_atom_site_fract_x
_atom_site_fract_y
_atom_site_fract_z
_atom_site_occupancy
Pa1 Pa 0.000 0.000 0.000 1
Sn1 Sn 0.500 0.500 0.000 1
Mo1 Mo 0.000 0.500 0.500 1
```

- energy of formation (eV/f.u.) = -0.013
- total magnetic moment (μB per cell) = 0.000
- V (Å³ per atom) = 19.356

A plane-wave DFT calculation with PBE was carried out for a relaxed LiNi2RuN crystal.

Geometry as CIF:
```
data_LiNi2RuN
_chemical_formula_sum 'Li1 Ni2 Ru1 N1'
_symmetry_space_group_name_H-M 'P 4/m m m'
_symmetry_Int_Tables_number 123
_symmetry_space_group_name_Hall '-P 4 2'
_cell_length_a 3.771
_cell_length_b 3.771
_cell_length_c 3.937
_cell_angle_alpha 90.00
_cell_angle_beta 90.00
_cell_angle_gamma 90.00
loop_
_atom_site_label
_atom_site_type_symbol
_atom_site_fract_x
_atom_site_fract_y
_atom_site_fract_z
_atom_site_occupancy
Li1 Li 0.000 0.000 0.000 1
Ni1 Ni 0.000 0.500 0.500 1
Ru1 Ru 0.500 0.500 0.000 1
N1 N 0.500 0.500 0.500 1
```

- energy relative to the elements, uncorrected (eV/atom) = -0.03
- total magnetic moment (μB per cell) = 0.000
- V (Å³ per atom) = 11.194

A plane-wave DFT calculation with PBE was carried out for a relaxed SrLaI2O crystal.

Geometry as CIF:
```
data_SrLaI2O
_chemical_formula_sum 'Sr1 La1 I2 O1'
_symmetry_space_group_name_H-M 'P 4/m m m'
_symmetry_Int_Tables_number 123
_symmetry_space_group_name_Hall '-P 4 2'
_cell_length_a 6.325
_cell_length_b 6.325
_cell_length_c 4.398
_cell_angle_alpha 90.00
_cell_angle_beta 90.00
_cell_angle_gamma 90.00
loop_
_atom_site_label
_atom_site_type_symbol
_atom_site_fract_x
_atom_site_fract_y
_atom_site_fract_z
_atom_site_occupancy
Sr1 Sr 0.000 0.000 0.000 1
La1 La 0.500 0.500 0.500 1
I1 I 0.000 0.500 0.000 1
O1 O 0.000 0.000 0.500 1
```

- energy relative to the elements, uncorrected (eV/atom) = -1.15
- total magnetic moment (μB per cell) = 0.413
- V (Å³ per atom) = 35.183

A plane-wave DFT calculation with PBE was carried out for a relaxed Zn2SnO2 crystal.

Geometry as CIF:
```
data_Zn2SnO2
_chemical_formula_sum 'Zn4 Sn2 O4'
_symmetry_space_group_name_H-M 'I 4/m m m'
_symmetry_Int_Tables_number 139
_symmetry_space_group_name_Hall '-I 4 2'
_cell_length_a 3.802
_cell_length_b 3.802
_cell_length_c 12.561
_cell_angle_alpha 90.00
_cell_angle_beta 90.00
_cell_angle_gamma 90.00
loop_
_atom_site_label
_atom_site_type_symbol
_atom_site_fract_x
_atom_site_fract_y
_atom_site_fract_z
_atom_site_occupancy
Zn1 Zn 0.000 0.500 0.250 1
Sn1 Sn 0.000 0.000 0.000 1
O1 O 0.000 0.000 0.308 1
```

- energy relative to the elements, uncorrected (eV/atom) = -0.58
- total magnetic moment (μB per cell) = 0.000
- V (Å³ per atom) = 18.158

A plane-wave DFT calculation with PBE was carried out for a relaxed Er8MgSc6 crystal.

Geometry as CIF:
```
data_Er8MgSc6
_chemical_formula_sum 'Er24 Mg3 Sc18'
_symmetry_space_group_name_H-M 'R -3'
_symmetry_Int_Tables_number 148
_symmetry_space_group_name_Hall '-R 3'
_cell_length_a 9.2349
_cell_length_b 9.2349
_cell_length_c 17.2621
_cell_angle_alpha 90.00
_cell_angle_beta 90.00
_cell_angle_gamma 120.00
loop_
_atom_site_label
_atom_site_type_symbol
_atom_site_fract_x
_atom_site_fract_y
_atom_site_fract_z
_atom_site_occupancy
Er1 Er 0.0000 0.0000 0.0922 1
Er2 Er 0.0515 0.2444 0.6784 1
Mg1 Mg 0.0000 0.0000 0.5000 1
Sc1 Sc 0.0291 0.2968 0.1832 1
```

- energy of formation (eV/f.u.) = 2.818
- total magnetic moment (μB per cell) = 0.055
- V (Å³ per atom) = 28.332

A plane-wave DFT calculation with PBE was carried out for a relaxed SrFe3 crystal.

Geometry as CIF:
```
data_SrFe3
_chemical_formula_sum 'Sr1 Fe3'
_symmetry_space_group_name_H-M 'P m m 2'
_symmetry_Int_Tables_number 25
_cell_length_a 3.044
_cell_length_b 4.031
_cell_length_c 6.268
_cell_angle_alpha 90.00
_cell_angle_beta 90.00
_cell_angle_gamma 90.00
loop_
_symmetry_equiv_pos_as_xyz
'x,y,z'
'-x,-y,z'
'-x,y,z'
'x,-y,z'
loop_
_atom_site_label
_atom_site_type_symbol
_atom_site_fract_x
_atom_site_fract_y
_atom_site_fract_z
_atom_site_occupancy
Sr1 Sr 0.000 0.000 0.000 1
Fe1 Fe 0.000 0.500 0.596 1
Fe2 Fe 0.500 0.000 0.525 1
Fe3 Fe 0.500 0.500 0.311 1
```

- energy of formation (eV/f.u.) = 2.321
- total magnetic moment (μB per cell) = 7.973
- V (Å³ per atom) = 19.226

A plane-wave DFT calculation with PBE was carried out for a relaxed Rb2GaH6Au crystal.

Geometry as CIF:
```
data_Rb2GaH6Au
_chemical_formula_sum 'Rb4 Ga2 H12 Au2'
_symmetry_space_group_name_H-M 'C 1 m 1'
_symmetry_Int_Tables_number 8
_cell_length_a 8.568
_cell_length_b 8.560
_cell_length_c 6.197
_cell_angle_alpha 90.00
_cell_angle_beta 125.88
_cell_angle_gamma 90.00
loop_
_symmetry_equiv_pos_as_xyz
'x,y,z'
'x,-y,z'
'x+1/2,y+1/2,z'
'x+1/2,-y+1/2,z'
loop_
_atom_site_label
_atom_site_type_symbol
_atom_site_fract_x
_atom_site_fract_y
_atom_site_fract_z
_atom_site_occupancy
Rb1 Rb 0.000 0.248 0.000 1
Ga1 Ga 0.489 0.000 0.492 1
H1 H 0.063 0.000 0.753 1
H2 H 0.114 0.344 0.588 1
H3 H 0.287 0.500 0.093 1
H4 H 0.351 0.000 0.171 1
H5 H 0.352 0.000 0.590 1
Au1 Au 0.424 0.500 0.424 1
```

- VASP energy (hartree per atom) = -0.1117
- total magnetic moment (μB per cell) = 0.000
- V (Å³ per atom) = 18.413

A plane-wave DFT calculation with PBE was carried out for a relaxed AlFe3 crystal.

Geometry as CIF:
```
data_AlFe3
_chemical_formula_sum 'Al1 Fe3'
_symmetry_space_group_name_H-M 'P -6 m 2'
_symmetry_Int_Tables_number 187
_symmetry_space_group_name_Hall 'P -6 2'
_cell_length_a 2.6115
_cell_length_b 2.6115
_cell_length_c 8.4015
_cell_angle_alpha 90.00
_cell_angle_beta 90.00
_cell_angle_gamma 120.00
loop_
_atom_site_label
_atom_site_type_symbol
_atom_site_fract_x
_atom_site_fract_y
_atom_site_fract_z
_atom_site_occupancy
Al1 Al 0.0000 0.0000 0.0000 1
Fe1 Fe 0.0000 0.0000 0.5000 1
Fe2 Fe 0.6667 0.3333 0.2466 1
```

- energy of formation (eV/f.u.) = 0.105
- total magnetic moment (μB per cell) = 7.045
- V (Å³ per atom) = 12.406

A plane-wave DFT calculation with PBE was carried out for a relaxed ZnAsSeBr2 crystal.

Geometry as CIF:
```
data_ZnAsSeBr2
_chemical_formula_sum 'Zn1 As1 Se1 Br2'
_symmetry_space_group_name_H-M 'P 4/m m m'
_symmetry_Int_Tables_number 123
_symmetry_space_group_name_Hall '-P 4 2'
_cell_length_a 5.254
_cell_length_b 5.254
_cell_length_c 5.214
_cell_angle_alpha 90.00
_cell_angle_beta 90.00
_cell_angle_gamma 90.00
loop_
_atom_site_label
_atom_site_type_symbol
_atom_site_fract_x
_atom_site_fract_y
_atom_site_fract_z
_atom_site_occupancy
Zn1 Zn 0.000 0.000 0.000 1
As1 As 0.500 0.500 0.500 1
Se1 Se 0.500 0.500 0.000 1
Br1 Br 0.000 0.500 0.500 1
```

- energy relative to the elements, uncorrected (eV/atom) = 0.17
- total magnetic moment (μB per cell) = 0.000
- V (Å³ per atom) = 28.786